# AgC3Br

A relaxed structure of AgC3Br (PBEsol, Alexandria).

Summary:
Total DFT energy (no corrections) = -3.324 eV per atom
Symmetry = Pm-3m

```
data_AgC3Br
_space_group_name_H-M_alt 'P 1'
_space_group_IT_number 1
_cell_length_a 3.994
_cell_length_b 3.994
_cell_length_c 3.994
_cell_angle_alpha 90.00
_cell_angle_beta 90.00
_cell_angle_gamma 90.00
loop_
_space_group_symop_operation_xyz
'x,y,z'
loop_
_atom_site_label
_atom_site_type_symbol
_atom_site_fract_x
_atom_site_fract_y
_atom_site_fract_z
C1 C 0.000 0.500 0.000
C2 C 0.000 0.000 0.500
C3 C 0.500 0.000 0.000
Br1 Br 0.000 0.000 0.000
Ag1 Ag 0.500 0.500 0.500
```